# PBE Ce2TmAl6, optimized geometry
data_Ce2TmAl6
_cell_length_a 7.9866
_cell_length_b 7.9866
_cell_length_c 3.4821
_cell_angle_alpha 90.00
_cell_angle_beta 90.00
_cell_angle_gamma 120.00
_symmetry_space_group_name_H-M 'P 6/m m m'
_symmetry_Int_Tables_number 191
_symmetry_space_group_name_Hall '-P 6 2'
loop_
_atom_site_label
_atom_site_fract_x
_atom_site_fract_y
_atom_site_fract_z
Ce1 0.3333 0.6667 0.0000
Tm1 0.0000 0.0000 0.0000
Al1 0.0000 0.3310 0.5000
# E_form   -0.4288 eV per atom
# Crystal system   hexagonal
# Fermi-level density of states   1.059 states/eV/atom
# Calculated total energy   -4.74 eV/atom